(1)
La2SmTm4 PBE relaxed; DOS at the Fermi energy = 19.59 states/eV/cell; space group = No. 1; DFT total energy = -4.608 eV/atom
1.0
-7.572 7.511 -1.034
-1.553 -7.866 3.581
6.429 3.480 3.293
Tm Sm La
8 2 4
Cartesian
-6.339 4.200 0.803
2.776 3.512 3.222
0.613 1.684 5.432
-2.886 3.417 0.636
1.958 0.131 2.484
-0.938 -5.176 4.048
3.330 -2.523 4.582
-1.504 0.864 2.667
-1.307 10.296 2.043
-5.007 1.605 2.858
-2.107 6.856 1.303
-0.096 -1.751 4.758
-0.756 4.249 3.350
-2.337 -2.560 1.984

(2)
LaSm3Tm5 PBE relaxed; DOS at the Fermi energy = 26.93 states/eV/cell; space group = No. 15; DFT total energy = -4.283 eV/atom
1.0
-0.948 5.128 2.983
-7.717 -1.278 -6.303
-1.381 -5.807 9.542
Sm La Tm
6 2 10
Cartesian
0.000 0.000 0.000
-5.185 -1.382 -2.593
-4.860 -0.575 8.815
-6.396 -1.470 3.815
-3.649 -0.487 2.407
-0.691 -2.903 4.771
-0.469 -0.780 2.776
-1.860 0.101 9.749
-6.176 0.348 0.369
-6.962 -3.549 6.793
-3.084 1.592 -0.571
-5.816 -3.108 0.590
-0.934 1.734 4.239
-4.230 1.151 5.632
-6.408 -5.039 3.695
-3.637 3.082 2.527
-3.869 -2.305 5.853
-1.395 -2.413 8.286

(3)
La4SmTm PBE relaxed; DOS at the Fermi energy = 11.91 states/eV/cell; space group = No. 65; DFT total energy = -4.721 eV/atom
1.0
6.385 0.448 0.934
3.098 5.600 0.934
-0.840 -0.536 6.020
La Tm Sm
4 1 1
Cartesian
6.232 3.975 1.231
7.576 4.832 4.588
2.411 1.538 6.657
1.067 0.681 3.300
0.000 0.000 0.000
4.322 2.756 3.944

(4)
La8SmTm2 PBE relaxed; DOS at the Fermi energy = 20.00 states/eV/cell; space group = No. 12; DFT total energy = -4.803 eV/atom
1.0
-0.466 -5.078 -1.165
7.662 -0.009 -3.028
1.130 0.387 9.629
La Sm Tm
8 1 2
Cartesian
7.089 -3.332 -0.044
4.906 -1.756 5.718
1.688 -0.598 1.932
2.677 -4.489 6.780
1.238 -1.368 5.479
3.420 -2.944 -0.283
5.650 -0.211 -1.344
6.638 -4.102 3.503
-0.233 -2.539 -0.583
3.064 -3.718 3.251
5.262 -0.981 2.185

(5)
La4SmTm5 PBE relaxed; DOS at the Fermi energy = 16.02 states/eV/cell; space group = No. 123; DFT total energy = -4.650 eV/atom
1.0
3.662 0.000 0.000
0.000 3.662 0.000
0.000 0.000 24.745
Tm Sm La
5 1 4
Cartesian
1.831 1.831 22.339
1.831 1.831 12.373
1.831 1.831 2.406
1.831 1.831 17.351
1.831 1.831 7.394
0.000 0.000 0.000
0.000 0.000 14.858
0.000 0.000 4.917
0.000 0.000 9.887
0.000 0.000 19.828

(6)
La4SmTm2 PBE relaxed; DOS at the Fermi energy = 24.15 states/eV/cell; space group = No. 9; DFT total energy = -4.695 eV/atom
1.0
12.247 -3.154 -1.567
-9.603 8.230 -1.566
0.023 0.045 6.885
La Tm Sm
8 4 2
Cartesian
1.124 3.168 -0.888
1.964 2.759 2.554
-5.281 5.995 4.706
-4.695 5.331 1.109
7.071 -0.770 4.551
-0.911 1.054 3.811
7.927 -0.915 1.264
1.374 -0.165 0.368
-7.522 7.272 2.151
-2.174 4.211 5.108
4.685 0.609 1.665
10.259 -2.021 -1.291
4.167 1.340 -1.699
-1.278 4.206 1.743

(7)
La5Sm2Tm12 PBE relaxed; DOS at the Fermi energy = 31.57 states/eV/cell; space group = No. 2; DFT total energy = -4.525 eV/atom
1.0
6.752 -0.241 0.080
-3.821 10.645 -10.653
0.034 -6.295 15.112
Tm La Sm
12 5 2
Cartesian
-1.187 0.550 5.820
-3.281 9.069 -6.997
4.152 3.559 -1.280
3.968 -0.998 2.957
6.246 -4.960 11.537
0.958 0.084 8.500
-1.003 5.107 1.583
0.776 3.012 -0.787
2.007 4.025 -3.960
4.132 -0.644 8.716
-1.167 4.753 -4.176
2.189 1.097 5.327
0.017 -3.147 7.556
-0.107 6.344 -1.551
-0.185 1.754 2.637
3.150 2.356 1.903
3.071 -2.235 6.091
5.096 0.190 -0.224
-2.132 3.919 4.764

(8)
La2Sm9Tm PBE relaxed; DOS at the Fermi energy = 20.42 states/eV/cell; space group = No. 123; DFT total energy = -4.711 eV/atom
1.0
5.143 0.000 0.000
0.000 5.143 0.000
0.000 0.000 15.442
La Sm Tm
2 9 1
Cartesian
0.000 0.000 5.130
0.000 0.000 10.311
2.571 2.571 10.332
2.571 2.571 0.000
2.571 2.571 5.110
0.000 2.571 12.927
2.571 0.000 7.721
0.000 2.571 2.515
2.571 0.000 2.515
0.000 2.571 7.721
2.571 0.000 12.927
0.000 0.000 0.000

(9)
La8SmTm6 PBE relaxed; DOS at the Fermi energy = 24.74 states/eV/cell; space group = No. 147; DFT total energy = -4.561 eV/atom
1.0
-2.377 -0.358 6.193
3.718 -8.617 0.929
5.055 7.598 2.380
La Tm Sm
8 6 1
Cartesian
3.875 -3.256 2.165
6.703 -2.909 3.618
2.521 1.878 7.337
1.939 -0.721 1.916
3.761 4.812 7.635
2.634 -6.189 1.866
4.456 -0.656 7.586
-0.308 1.532 5.883
1.779 2.361 3.284
4.590 0.069 4.231
1.805 -1.447 5.271
4.616 -3.738 6.217
1.404 -5.155 4.902
4.991 3.777 4.599
-1.189 -0.179 3.096

(10)
La7Sm2Tm PBE relaxed; DOS at the Fermi energy = 17.80 states/eV/cell; space group = No. 65; DFT total energy = -4.268 eV/atom
1.0
-5.422 -1.217 1.029
2.613 -6.079 6.582
-1.666 8.994 1.854
La Sm Tm
7 2 1
Cartesian
-3.019 1.633 1.539
1.596 -2.498 5.458
-2.238 0.849 4.732
-0.650 5.412 2.978
-2.423 3.471 6.857
-2.052 -1.773 2.607
-1.456 0.065 7.926
-1.371 -2.202 5.689
-3.104 3.900 3.775
0.000 0.000 0.000

(11)
La2Sm5Tm12 PBE relaxed; DOS at the Fermi energy = 27.38 states/eV/cell; space group = No. 2; DFT total energy = -4.498 eV/atom
1.0
-2.488 -2.165 5.804
7.593 -10.863 -3.171
-1.676 14.437 4.903
Sm Tm La
5 12 2
Cartesian
-0.838 7.219 2.452
-0.718 6.859 6.030
1.458 2.009 1.720
4.146 -5.450 1.506
1.970 -0.600 5.816
2.337 6.328 4.231
3.775 -8.942 2.746
-0.833 1.031 4.279
1.091 -4.919 3.305
1.252 -1.464 2.437
2.176 2.873 5.099
-0.792 3.385 6.709
4.261 0.378 3.257
-0.359 4.231 3.464
-0.347 10.352 4.790
3.788 -2.822 4.073
4.221 -1.975 0.828
4.410 3.990 2.658
-0.982 -2.580 4.878

(12)
La6Sm8Tm PBE relaxed; DOS at the Fermi energy = 24.11 states/eV/cell; space group = No. 148; DFT total energy = -4.682 eV/atom
1.0
-7.735 5.113 0.590
-8.177 -4.113 1.591
-4.303 1.042 7.702
La Sm Tm
6 8 1
Cartesian
-3.233 -0.347 1.449
-14.718 -0.450 8.397
-16.982 2.390 8.434
-6.784 -0.863 2.011
-13.431 2.906 7.872
-5.498 2.492 1.486
-6.742 0.650 5.092
-9.876 1.186 6.559
-11.337 4.147 5.396
-10.340 0.857 3.324
-8.878 -2.105 4.487
-8.220 3.601 3.813
-13.474 1.392 4.791
-11.996 -1.558 6.070
0.000 0.000 0.000

For the records above, the corresponding volume values read 455.2; 596.8; 212.6; 388.1; 331.9; 487.4; 621.5; 408.4; 511.7; 415.0; 618.2; 529.4 Å³/cell.